1.
The following is a GGA-PBE calculation of As2SIBr after structural relaxation, from Alexandria.

CIF file:
```
data_As2SIBr
_chemical_formula_sum 'As2 S1 I1 Br1'
_symmetry_space_group_name_H-M 'P 1'
_symmetry_Int_Tables_number 1
_cell_length_a 5.039
_cell_length_b 5.039
_cell_length_c 5.092
_cell_angle_alpha 90.00
_cell_angle_beta 90.00
_cell_angle_gamma 90.00
loop_
_symmetry_equiv_pos_as_xyz
'x,y,z'
loop_
_atom_site_label
_atom_site_fract_x
_atom_site_fract_y
_atom_site_fract_z
_atom_site_occupancy
As1 0.000 0.500 0.000 1
As2 0.500 0.000 0.000 1
S1 0.000 0.000 0.000 1
I1 0.500 0.500 0.500 1
Br1 0.000 0.000 0.500 1
```

E_form (uncorrected), eV/atom: 0.65
Excess energy over the best structure of this formula in the dataset, meV/atom: 0
Energy, eV/atom: -2.677

2.
The following is a GGA-PBE calculation of CePmAu after structural relaxation, from Alexandria.

CIF file:
```
data_CePmAu
_chemical_formula_sum 'Ce2 Pm2 Au2'
_symmetry_space_group_name_H-M 'P 1'
_symmetry_Int_Tables_number 1
_cell_length_a 4.578
_cell_length_b 4.222
_cell_length_c 8.453
_cell_angle_alpha 90.00
_cell_angle_beta 90.64
_cell_angle_gamma 90.00
loop_
_symmetry_equiv_pos_as_xyz
'x,y,z'
loop_
_atom_site_label
_atom_site_fract_x
_atom_site_fract_y
_atom_site_fract_z
_atom_site_occupancy
Ce1 0.191 0.250 0.482 1
Ce2 0.809 0.750 0.518 1
Pm1 0.257 0.750 0.862 1
Pm2 0.743 0.250 0.138 1
Au1 0.265 0.750 0.219 1
Au2 0.735 0.250 0.781 1
```

Formation energy, eV per formula unit: -1.42
Excess energy over the best structure of this formula in the dataset, meV/atom: 0
Energy, eV/atom: -5.127

3.
The following is a GGA-PBE calculation of NaLi2Ca2 after structural relaxation, from Alexandria.

CIF file:
```
data_NaLi2Ca2
_chemical_formula_sum 'Na2 Li4 Ca4'
_symmetry_space_group_name_H-M 'P 1'
_symmetry_Int_Tables_number 1
_cell_length_a 8.148
_cell_length_b 8.148
_cell_length_c 4.930
_cell_angle_alpha 90.00
_cell_angle_beta 90.00
_cell_angle_gamma 90.00
loop_
_symmetry_equiv_pos_as_xyz
'x,y,z'
loop_
_atom_site_label
_atom_site_fract_x
_atom_site_fract_y
_atom_site_fract_z
_atom_site_occupancy
Na1 0.000 0.000 0.000 1
Na2 0.500 0.500 0.000 1
Li1 0.125 0.375 0.000 1
Li2 0.375 0.875 0.000 1
Li3 0.625 0.125 0.000 1
Li4 0.875 0.625 0.000 1
Ca1 0.171 0.671 0.500 1
Ca2 0.329 0.171 0.500 1
Ca3 0.671 0.829 0.500 1
Ca4 0.829 0.329 0.500 1
```

Formation energy, eV per formula unit: 0.28
Excess energy over the best structure of this formula in the dataset, meV/atom: 0
Energy, eV/atom: -1.774

Please write out number 3 again, unchanged.
The following is a GGA-PBE calculation of NaLi2Ca2 after structural relaxation, from Alexandria.

CIF file:
```
data_NaLi2Ca2
_chemical_formula_sum 'Na2 Li4 Ca4'
_symmetry_space_group_name_H-M 'P 1'
_symmetry_Int_Tables_number 1
_cell_length_a 8.148
_cell_length_b 8.148
_cell_length_c 4.930
_cell_angle_alpha 90.00
_cell_angle_beta 90.00
_cell_angle_gamma 90.00
loop_
_symmetry_equiv_pos_as_xyz
'x,y,z'
loop_
_atom_site_label
_atom_site_fract_x
_atom_site_fract_y
_atom_site_fract_z
_atom_site_occupancy
Na1 0.000 0.000 0.000 1
Na2 0.500 0.500 0.000 1
Li1 0.125 0.375 0.000 1
Li2 0.375 0.875 0.000 1
Li3 0.625 0.125 0.000 1
Li4 0.875 0.625 0.000 1
Ca1 0.171 0.671 0.500 1
Ca2 0.329 0.171 0.500 1
Ca3 0.671 0.829 0.500 1
Ca4 0.829 0.329 0.500 1
```

Formation energy, eV per formula unit: 0.28
Excess energy over the best structure of this formula in the dataset, meV/atom: 0
Energy, eV/atom: -1.774